A relaxed CeEr8Tm3 crystal, computed with PBE-GGA.

abc: 7.5693 7.5693 9.2790
angles: 114.07 114.07 90.00
Closest atoms and distances in Å follow each position.
Sites, in units of the cell vectors:
Ce  0.0000  0.0000  0.0000  8 Er 3.26
Er  0.3728  0.3728  0.2487  1 Ce 3.26, 3 Tm 3.28-3.29
Er  0.3728  0.8759  0.2487  1 Ce 3.26, 3 Tm 3.28-3.29
Er  0.1241  0.6272  0.7513  1 Ce 3.26, 3 Tm 3.28-3.29
Er  0.1241  0.1241  0.7513  1 Ce 3.26, 3 Tm 3.28-3.29
Er  0.8759  0.8759  0.2487  1 Ce 3.26, 3 Tm 3.28-3.29
Er  0.8759  0.3728  0.2487  1 Ce 3.26, 3 Tm 3.28-3.29
Er  0.6272  0.1241  0.7513  1 Ce 3.26, 3 Tm 3.28-3.29
Er  0.6272  0.6272  0.7513  1 Ce 3.26, 3 Tm 3.28-3.29
Tm  0.7500  0.2500  0.5000  8 Er 3.28
Tm  0.5000  0.5000  0.0000  8 Er 3.29
Tm  0.2500  0.7500  0.5000  8 Er 3.28

Values from the calculation:
E (eV/cell): -46.7
SG: I4/mmm (139)